Entry 1:
Density functional theory data (PBE) for a relaxed structure of SrSi2Hg.

Its total DFT energy (no corrections) is -3.225 eV/atom. For the raw formation energy, the calculation gives -0.017 eV/atom. The size of the total moment is 0.0 μB per cell.

It has space group Pmm2 (No. 25), with a = 3.519 Å, b = 3.564 Å, c = 7.230 Å, α = 90.00°, β = 90.00° and γ = 90.00°. The distinct sites, in fractional coordinates, are Sr at (0.000, 0.000, 0.000), Si at (0.000, 0.000, 0.570), Si at (0.500, 0.500, 0.687) and Hg at (0.500, 0.500, 0.305).

---

Entry 2:
Density functional theory data (PBE) for a relaxed structure of SrSi2Hg.

Its total DFT energy (no corrections) is -3.141 eV/atom. For the raw formation energy, the calculation gives 0.066 eV/atom. The size of the total moment is 0.0 μB per cell.

It has space group R-3m (No. 166, hexagonal axes), with a = 4.4791 Å, b = 4.4791 Å, c = 16.7064 Å, α = 90.00°, β = 90.00° and γ = 120.00°. The distinct sites, in fractional coordinates, are Sr at (0.0000, 0.0000, 0.0000), Si at (0.0000, 0.0000, 0.2132) and Hg at (0.0000, 0.0000, 0.5000).

---

Entry 3:
Density functional theory data (PBE) for a relaxed structure of SrSi3Hg.

Its total DFT energy (no corrections) is -2.949 eV/atom. Its energy above the most stable polymorph in this dataset is 0 meV/atom. For the raw formation energy, the calculation gives 0.701 eV/atom. The size of the total moment is 0.0 μB per cell.

It has space group Pm-3m (No. 221), with a = 5.173 Å, b = 5.173 Å, c = 5.173 Å, α = 90.00°, β = 90.00° and γ = 90.00°. The distinct sites, in fractional coordinates, are Sr at (0.000, 0.000, 0.000), Si at (0.000, 0.500, 0.500) and Hg at (0.500, 0.500, 0.500).

---

Entry 4:
Density functional theory data (PBE) for a relaxed structure of SrSi2Hg2.

Its total DFT energy (no corrections) is -2.522 eV/atom. Its energy above the most stable polymorph in this dataset is 257 meV/atom. For the raw formation energy, the calculation gives 0.104 eV/atom. The size of the total moment is 0.0 μB per cell.

It has space group P4/mbm (No. 127), with a = 7.755 Å, b = 7.755 Å, c = 4.095 Å, α = 90.00°, β = 90.00° and γ = 90.00°. The distinct sites, in fractional coordinates, are Sr at (0.000, 0.000, 0.000), Si at (0.107, 0.393, 0.000) and Hg at (0.172, 0.672, 0.500).